No. 1
A relaxed ScCuPb crystal. Source: the Alexandria database, functional PBE.

Cell lengths 10.421, 4.491, 6.124 Å; angles 90.00, 115.31, 90.00 degrees
Space group Cm (No. 8)
Asymmetric unit:
Sc 0.000 0.000 0.000 [2 per cell]
Sc 0.159 0.500 0.513 [2 per cell]
Cu 0.171 0.500 0.050 [2 per cell]
Cu 0.433 0.000 0.689 [2 per cell]
Pb 0.278 0.000 0.938 [2 per cell]
Pb 0.435 0.500 0.443 [2 per cell]

Calculated values
The energy relative to the elements comes out at -0.13 eV/atom. Its calculated density is 8.09 g/cm³. The value obtained for the calculated total energy is -58.05 eV per cell.



No. 2
A relaxed Sc3CuPb crystal. Source: the Alexandria database, functional PBE.

Cell lengths 5.414, 5.414, 5.414 Å; angles 90.00, 90.00, 90.00 degrees
Space group Pm-3m (No. 221)
Asymmetric unit:
Sc 0.000 0.000 0.500 [3 per cell]
Cu 0.500 0.500 0.500 [1 per cell]
Pb 0.000 0.000 0.000 [1 per cell]

Calculated values
The energy relative to the elements comes out at 0.77 eV/atom. For the energy above the most stable polymorph in this dataset, the calculation gives 845.0 meV per atom. Its calculated density is 4.25 g/cm³. The value obtained for the calculated total energy is -22.95 eV per cell.



No. 3
A relaxed ScCuPb crystal. Source: the Alexandria database, functional PBE.

Cell lengths 11.245, 3.620, 8.067 Å; angles 90.00, 129.25, 90.00 degrees
Space group Cm (No. 8)
Asymmetric unit:
Sc 0.000 0.000 0.000 [2 per cell]
Sc 0.058 0.500 0.667 [2 per cell]
Cu 0.009 0.000 0.375 [2 per cell]
Cu 0.286 0.000 0.703 [2 per cell]
Pb 0.252 0.500 0.414 [2 per cell]
Pb 0.296 0.000 0.059 [2 per cell]

Calculated values
The energy relative to the elements comes out at -0.13 eV/atom. Its calculated density is 8.25 g/cm³. The value obtained for the calculated total energy is -58.14 eV per cell.



No. 4
A relaxed ScCuPb3 crystal. Source: the Alexandria database, functional PBE.

Cell lengths 5.633, 5.633, 5.633 Å; angles 90.00, 90.00, 90.00 degrees
Space group Pm-3m (No. 221)
Asymmetric unit:
Sc 0.000 0.000 0.000 [1 per cell]
Cu 0.500 0.500 0.500 [1 per cell]
Pb 0.000 0.000 0.500 [3 per cell]

Calculated values
The energy relative to the elements comes out at 0.68 eV/atom. For the energy above the most stable polymorph in this dataset, the calculation gives 376.2 meV per atom. Its calculated density is 6.78 g/cm³. The value obtained for the calculated total energy is -18.13 eV per cell.